(1)
## CaTlW (PBE-GGA)

Data for a relaxed structure of CaTlW.

ΔH_f (0 K): 1224 meV per atom
Uncorrected energy: -54.59 eV/cell

Unit cell a=6.915 b=6.915 c=6.915 alpha=90.00 beta=90.00 gamma=90.00
Space group F-43m (No. 216)
One atom of each set of equivalent atoms:
1 Ca 0.000 0.000 0.000
2 Tl 0.250 0.250 0.750
3 W 0.000 0.000 0.500

***

(2)
## LaDy3Tm4 (PBE-GGA)

Data for a relaxed structure of LaDy3Tm4.

ΔH_f (0 K): 34 meV per atom
Uncorrected energy: -72.70 eV/cell

Unit cell a=5.018 b=10.012 c=10.029 alpha=90.00 beta=90.00 gamma=90.00
Space group Pmmn (No. 59, origin choice 2)
One atom of each set of equivalent atoms:
1 La 0.250 0.250 0.126
2 Dy 0.250 0.002 0.872
3 Dy 0.250 0.750 0.129
4 Tm 0.250 0.250 0.622
5 Tm 0.250 0.501 0.379
6 Tm 0.250 0.750 0.619

***

(3)
## LiPmPb5 (PBE-GGA)

Data for a relaxed structure of LiPmPb5.

ΔH_f (0 K): -231 meV per atom
Uncorrected energy: -26.82 eV/cell

Unit cell a=4.757 b=4.757 c=8.903 alpha=90.00 beta=90.00 gamma=90.00
Space group P4/mmm (No. 123)
One atom of each set of equivalent atoms:
1 Li 0.000 0.000 0.000
2 Pm 0.500 0.500 0.500
3 Pb 0.000 0.000 0.500
4 Pb 0.000 0.500 0.207

***

(4)
## ZnCo2Re (PBE-GGA)

Data for a relaxed structure of ZnCo2Re.

ΔH_f (0 K): 183 meV per atom
Uncorrected energy: -54.40 eV/cell

Unit cell a=2.644 b=4.257 c=8.942 alpha=90.00 beta=90.00 gamma=90.00
Space group Imm2 (No. 44)
One atom of each set of equivalent atoms:
1 Zn 0.000 0.000 0.000
2 Co 0.000 0.000 0.489
3 Co 0.000 0.500 0.763
4 Re 0.000 0.500 0.217